[1]
Entry from Alexandria via LeMat-Bulk: crystalline Ce2In5Pd at its relaxed geometry (PBE).

abc: 4.816 4.816 11.198
angles: 102.45 102.45 60.01
Sites, in units of the cell vectors:
Ce 0.085 0.085 0.254
Ce 0.915 0.915 0.746
In 0.201 0.201 0.602
In 0.357 0.357 0.072
In 0.500 0.500 0.500
In 0.643 0.643 0.928
In 0.799 0.799 0.398
Pd 0.000 0.000 0.000

- total moment (μB/f.u.) = 1.63
- SG = No. 12
- V (A^3/atom) = 27.2
- E_form (eV/atom) = -0.29

[2]
Entry from Alexandria via LeMat-Bulk: crystalline BaNbCo2W at its relaxed geometry (PBE).

abc: 4.847 4.847 4.877
angles: 90.00 90.00 90.00
Sites, in units of the cell vectors:
Ba 0.000 0.000 0.000
Nb 0.500 0.500 0.500
Co 0.000 0.500 0.500
Co 0.500 0.000 0.500
W 0.500 0.500 0.000

- total moment (μB/f.u.) = 2.87
- SG = No. 123
- V (A^3/atom) = 22.9
- E_form (eV/atom) = 1.28

[3]
Entry from Alexandria via LeMat-Bulk: crystalline TaNi2WN at its relaxed geometry (PBE).

abc: 3.899 3.899 4.133
angles: 90.00 90.00 90.00
Sites, in units of the cell vectors:
Ta 0.000 0.000 0.000
Ni 0.000 0.500 0.500
Ni 0.500 0.000 0.500
W 0.500 0.500 0.000
N 0.000 0.000 0.500

- total moment (μB/f.u.) = 0.00
- SG = No. 123
- V (A^3/atom) = 12.6
- formation energy from raw total energies (eV/atom) = 0.0486

[4]
Entry from Alexandria via LeMat-Bulk: crystalline Li2YThSe4 at its relaxed geometry (PBE).

abc: 6.992 4.071 7.080
angles: 90.00 109.55 90.00
Sites, in units of the cell vectors:
Li 0.000 0.000 0.000
Li 0.000 0.500 0.500
Y 0.500 0.000 0.500
Th 0.500 0.500 0.000
Se 0.234 0.000 0.739
Se 0.241 0.500 0.251
Se 0.759 0.500 0.749
Se 0.766 0.000 0.261

- total moment (μB/f.u.) = 0.00
- SG = No. 10
- V (A^3/atom) = 23.7
- formation energy from raw total energies (eV/atom) = -1.5814

[5]
Entry from Alexandria via LeMat-Bulk: crystalline TlCuRu2 at its relaxed geometry (PBE).

abc: 5.276 5.276 5.276
angles: 146.35 128.56 62.89
Sites, in units of the cell vectors:
Tl 0.000 0.000 0.000
Cu 0.251 0.751 0.500
Ru 0.493 0.493 0.000
Ru 0.733 0.233 0.500

- total moment (μB/f.u.) = 0.29
- SG = No. 44
- excess energy over the best structure of this formula in the dataset (meV/atom) = 207
- V (A^3/atom) = 15.7
- E_form (eV/atom) = 0.58

[6]
Entry from Alexandria via LeMat-Bulk: crystalline EuLuGa2 at its relaxed geometry (PBE).

abc: 5.115 5.115 5.115
angles: 60.00 60.00 60.00
Sites, in units of the cell vectors:
Eu 0.000 0.000 0.000
Lu 0.500 0.500 0.500
Ga 0.250 0.250 0.250
Ga 0.750 0.750 0.750

- total moment (μB/f.u.) = 6.95
- SG = No. 225
- excess energy over the best structure of this formula in the dataset (meV/atom) = 48
- V (A^3/atom) = 23.7
- E_form (eV/atom) = -0.48

[7]
Entry from Alexandria via LeMat-Bulk: crystalline HfZrSc2I at its relaxed geometry (PBE).

abc: 5.197 5.197 5.341
angles: 90.00 90.00 90.00
Sites, in units of the cell vectors:
Hf 0.000 0.000 0.000
Zr 0.500 0.500 0.500
Sc 0.000 0.500 0.500
Sc 0.500 0.000 0.500
I 0.500 0.500 0.000

- total moment (μB/f.u.) = 0.00
- SG = No. 123
- V (A^3/atom) = 28.9
- formation energy from raw total energies (eV/atom) = 1.0430

[8]
Entry from Alexandria via LeMat-Bulk: crystalline Tl3CdHg6 at its relaxed geometry (PBE).

abc: 12.935 3.509 12.977
angles: 90.00 106.15 90.00
Sites, in units of the cell vectors:
Tl 0.039 0.250 0.390
Tl 0.369 0.750 0.423
Tl 0.393 0.250 0.917
Tl 0.607 0.750 0.083
Tl 0.631 0.250 0.577
Tl 0.961 0.750 0.610
Cd 0.201 0.750 0.042
Cd 0.799 0.250 0.958
Hg 0.014 0.250 0.888
Hg 0.182 0.750 0.801
Hg 0.192 0.250 0.243
Hg 0.211 0.750 0.577
Hg 0.403 0.250 0.165
Hg 0.424 0.250 0.671
Hg 0.576 0.750 0.329
Hg 0.597 0.750 0.835
Hg 0.789 0.250 0.423
Hg 0.808 0.750 0.757
Hg 0.818 0.250 0.199
Hg 0.986 0.750 0.112

- total moment (μB/f.u.) = 0.00
- SG = No. 11
- excess energy over the best structure of this formula in the dataset (meV/atom) = 0
- V (A^3/atom) = 28.3
- E_form (eV/atom) = 0.00